First-principles (meta-GGA SCAN) data for a PBEsol-optimized structure of Cr2FeCu, as listed in the Alexandria database.

E_form = 0.208 eV/atom

a b c (Å): 2.3817 2.3817 8.0558
angles (deg): 90.00 90.00 105.08
Last column: nearest neighbours and their distance in Å.
Element x y z (fractional)
Cr: 0.0000 0.0000 0.2427  4 Cr 2.38, 2 Fe 2.43, 2 Cu 2.53
Cr: 0.0000 0.0000 0.7573  4 Cr 2.38, 2 Fe 2.43, 2 Cu 2.53
Fe: 0.5000 0.5000 0.0000  4 Fe 2.38, 4 Cr 2.43
Cu: 0.5000 0.5000 0.5000  4 Cu 2.38, 4 Cr 2.53

***

First-principles (meta-GGA SCAN) data for a PBEsol-optimized structure of SiW2, as listed in the Alexandria database.

formation energy from raw total energies = 0.30 eV/atom

a b c (Å): 4.4301 4.4301 5.1361
angles (deg): 90.00 90.00 120.00
Last column: nearest neighbours and their distance in Å.
Element x y z (fractional)
Si: 0.3333 0.6667 0.2500  11 W 2.56-2.86
Si: 0.6667 0.3333 0.7500  11 W 2.56-2.86
W: 0.0000 0.0000 0.0000  8 W 2.57-2.86, 6 Si 2.86
W: 0.0000 0.0000 0.5000  8 W 2.57-2.86, 6 Si 2.86
W: 0.3333 0.6667 0.7500  5 Si 2.56-2.57, 6 W 2.86
W: 0.6667 0.3333 0.2500  5 Si 2.56-2.57, 6 W 2.86

***

First-principles (meta-GGA SCAN) data for a PBEsol-optimized structure of GaCo2Ni, as listed in the Alexandria database.

E_form = -0.150 eV/atom

a b c (Å): 3.4700 3.4700 3.6646
angles (deg): 90.00 90.00 90.00
Last column: nearest neighbours and their distance in Å.
Element x y z (fractional)
Ga: 0.0000 0.0000 0.0000  4 Ni 2.45, 8 Co 2.52
Co: 0.0000 0.5000 0.5000  4 Co 2.45, 4 Ni 2.52, 4 Ga 2.52
Co: 0.5000 0.0000 0.5000  4 Co 2.45, 4 Ni 2.52, 4 Ga 2.52
Ni: 0.5000 0.5000 0.0000  4 Ga 2.45, 8 Co 2.52

***

First-principles (meta-GGA SCAN) data for a PBEsol-optimized structure of ScIn2SiP, as listed in the Alexandria database.

formation energy from raw total energies = 1.10 eV/atom

a b c (Å): 5.4110 5.4110 4.9334
angles (deg): 90.00 90.00 90.00
Last column: nearest neighbours and their distance in Å.
Element x y z (fractional)
Sc: 0.0000 0.0000 0.0000  2 Si 2.47, 4 In 2.71
In: 0.0000 0.5000 0.0000  2 Sc 2.71
In: 0.5000 0.0000 0.0000  2 Sc 2.71
Si: 0.0000 0.0000 0.5000  2 Sc 2.47
P: 0.5000 0.5000 0.5000  8 In 3.66, 4 Si 3.83

***

First-principles (meta-GGA SCAN) data for a PBEsol-optimized structure of Ba6Ru2PtCl2O12, as listed in the Alexandria database.

formation energy from raw total energies = -2.25 eV/atom

a b c (Å): 5.7900 5.7900 15.0882
angles (deg): 90.00 90.00 120.00
Last column: nearest neighbours and their distance in Å.
Element x y z (fractional)
Ba: 0.3333 0.6667 0.0836  12 O 2.90-3.15
Ba: 0.3333 0.6667 0.3662  3 O 2.53
Ba: 0.3333 0.6667 0.7846  9 O 2.65-2.93
Ba: 0.6667 0.3333 0.2154  9 O 2.65-2.93
Ba: 0.6667 0.3333 0.6338  3 O 2.53
Ba: 0.6667 0.3333 0.9164  12 O 2.90-3.15
Ru: 0.0000 0.0000 0.1814  6 O 1.87-2.08
Ru: 0.0000 0.0000 0.8186  6 O 1.87-2.08
Pt: 0.0000 0.0000 0.0000  6 O 2.01
Cl: 0.3333 0.6667 0.5773  5 Ba 3.13-3.45
Cl: 0.6667 0.3333 0.4227  5 Ba 3.13-3.45
O: 0.1520 0.3040 0.9128  1 Pt 2.01, 1 Ru 2.08
O: 0.1520 0.8480 0.9128  1 Pt 2.01, 1 Ru 2.08
O: 0.1616 0.3232 0.2432  1 Ru 1.87
O: 0.1616 0.8384 0.2432  1 Ru 1.87
O: 0.3040 0.1520 0.0872  1 Pt 2.01, 1 Ru 2.08
O: 0.3232 0.1616 0.7568  1 Ru 1.87
O: 0.6768 0.8384 0.2432  1 Ru 1.87
O: 0.6960 0.8480 0.9128  1 Pt 2.01, 1 Ru 2.08
O: 0.8384 0.1616 0.7568  1 Ru 1.87
O: 0.8384 0.6768 0.7568  1 Ru 1.87
O: 0.8480 0.1520 0.0872  1 Pt 2.01, 1 Ru 2.08
O: 0.8480 0.6960 0.0872  1 Pt 2.01, 1 Ru 2.08

***

First-principles (meta-GGA SCAN) data for a PBEsol-optimized structure of AlCr2Cl, as listed in the Alexandria database.

formation energy from raw total energies = -0.15 eV/atom

a b c (Å): 2.9490 2.9490 7.1526
angles (deg): 90.00 90.00 90.00
Last column: nearest neighbours and their distance in Å.
Element x y z (fractional)
Al: 0.0000 0.0000 0.0000  5 Cr 2.53-2.74
Cr: 0.0000 0.0000 0.6163  4 Cr 2.46, 4 Cl 2.62, 1 Al 2.74
Cr: 0.5000 0.5000 0.7997  4 Cr 2.46, 4 Al 2.53
Cl: 0.5000 0.5000 0.3934  5 Cr 2.62-2.91

***

First-principles (meta-GGA SCAN) data for a PBEsol-optimized structure of Mg4Ag5, as listed in the Alexandria database.

E_form = -0.187 eV/atom

a b c (Å): 8.0525 8.0525 5.6930
angles (deg): 90.00 90.00 120.00
Last column: nearest neighbours and their distance in Å.
Element x y z (fractional)
Mg: 0.0000 0.0000 0.0000  2 Mg 2.85, 6 Ag 2.90
Mg: 0.0000 0.0000 0.5000  2 Mg 2.85, 6 Ag 2.90
Mg: 0.0000 0.3572 0.2500  9 Ag 2.65-2.96
Mg: 0.0000 0.6428 0.7500  9 Ag 2.65-2.96
Mg: 0.3572 0.0000 0.2500  9 Ag 2.65-2.96
Mg: 0.3572 0.3572 0.7500  9 Ag 2.65-2.96
Mg: 0.6428 0.0000 0.7500  9 Ag 2.65-2.96
Mg: 0.6428 0.6428 0.2500  9 Ag 2.65-2.96
Ag: 0.0000 0.3133 0.7500  7 Mg 2.65-2.90
Ag: 0.0000 0.6867 0.2500  7 Mg 2.65-2.90
Ag: 0.3133 0.0000 0.7500  7 Mg 2.65-2.90
Ag: 0.3133 0.3133 0.2500  7 Mg 2.65-2.90
Ag: 0.3333 0.6667 0.0000  8 Ag 2.85-3.11, 6 Mg 2.96
Ag: 0.3333 0.6667 0.5000  8 Ag 2.85-3.11, 6 Mg 2.96
Ag: 0.6667 0.3333 0.0000  8 Ag 2.85-3.11, 6 Mg 2.96
Ag: 0.6667 0.3333 0.5000  8 Ag 2.85-3.11, 6 Mg 2.96
Ag: 0.6867 0.0000 0.2500  7 Mg 2.65-2.90
Ag: 0.6867 0.6867 0.7500  7 Mg 2.65-2.90

***

First-principles (meta-GGA SCAN) data for a PBEsol-optimized structure of AgHg2RhPb, as listed in the Alexandria database.

E_form = 0.460 eV/atom

a b c (Å): 5.0523 5.0523 5.0362
angles (deg): 90.00 90.00 90.00
Last column: nearest neighbours and their distance in Å.
Element x y z (fractional)
Ag: 0.0000 0.0000 0.0000  2 Rh 2.52
Hg: 0.0000 0.5000 0.5000  2 Rh 2.53
Hg: 0.5000 0.0000 0.5000  2 Rh 2.53
Rh: 0.0000 0.0000 0.5000  2 Ag 2.52, 4 Hg 2.53
Pb: 0.5000 0.5000 0.0000  8 Hg 3.57, 4 Ag 3.57

***

First-principles (meta-GGA SCAN) data for a PBEsol-optimized structure of ZrHgAu, as listed in the Alexandria database.

E_form = -0.436 eV/atom

a b c (Å): 6.0571 6.0571 6.0571
angles (deg): 149.13 149.13 44.22
Last column: nearest neighbours and their distance in Å.
Element x y z (fractional)
Zr: 0.0000 0.0000 0.0000  4 Au 2.89, 4 Hg 3.03, 4 Zr 3.22
Hg: 0.3227 0.3227 0.0000  4 Au 2.94, 4 Zr 3.03, 4 Hg 3.22
Au: 0.6576 0.6576 0.0000  4 Zr 2.89, 4 Hg 2.94, 4 Au 3.22

***

First-principles (meta-GGA SCAN) data for a PBEsol-optimized structure of SrFeN3, as listed in the Alexandria database.

formation energy from raw total energies = 0.10 eV/atom

a b c (Å): 3.7968 3.7968 3.7968
angles (deg): 90.00 90.00 90.00
Last column: nearest neighbours and their distance in Å.
Element x y z (fractional)
Sr: 0.0000 0.0000 0.0000  12 N 2.68
Fe: 0.5000 0.5000 0.5000  6 N 1.90
N: 0.0000 0.5000 0.5000  2 Fe 1.90
N: 0.5000 0.0000 0.5000  2 Fe 1.90
N: 0.5000 0.5000 0.0000  2 Fe 1.90

***

First-principles (meta-GGA SCAN) data for a PBEsol-optimized structure of Zr2CoRh, as listed in the Alexandria database.

E_form = -0.651 eV/atom

a b c (Å): 3.1949 3.1949 6.3588
angles (deg): 90.00 90.00 90.00
Last column: nearest neighbours and their distance in Å.
Element x y z (fractional)
Zr: 0.0000 0.0000 0.2403  4 Co 2.73, 4 Rh 2.80
Zr: 0.0000 0.0000 0.7597  4 Co 2.73, 4 Rh 2.80
Co: 0.5000 0.5000 0.0000  8 Zr 2.73
Rh: 0.5000 0.5000 0.5000  8 Zr 2.80

***

First-principles (meta-GGA SCAN) data for a PBEsol-optimized structure of Zr2Co2Pt, as listed in the Alexandria database.

E_form = -0.619 eV/atom

a b c (Å): 6.6968 6.6968 3.3864
angles (deg): 90.00 90.00 90.00
Last column: nearest neighbours and their distance in Å.
Element x y z (fractional)
Zr: 0.1785 0.3215 0.0000  6 Co 2.53-2.66
Zr: 0.3215 0.8215 0.0000  6 Co 2.53-2.66
Zr: 0.6785 0.1785 0.0000  6 Co 2.53-2.66
Zr: 0.8215 0.6785 0.0000  6 Co 2.53-2.66
Co: 0.1232 0.6232 0.5000  1 Co 2.33, 2 Zr 2.53
Co: 0.3768 0.1232 0.5000  1 Co 2.33, 2 Zr 2.53
Co: 0.6232 0.8768 0.5000  1 Co 2.33, 2 Zr 2.53
Co: 0.8768 0.3768 0.5000  1 Co 2.33, 2 Zr 2.53
Pt: 0.0000 0.0000 0.5000  4 Co 2.65
Pt: 0.5000 0.5000 0.5000  4 Co 2.65